Computed, not measured: an optimized crystal structure of Cs2Ag2Br at the PBE level of DFT.

Calculated values
- E (eV per atom) = -2.144
- energy relative to the lowest polymorph listed for this composition (meV per atom) = 263
- size of the total moment (μB/f.u.) = 0.00
- formation energy from raw total energies (meV per atom) = -327

a b c (Å): 6.663 6.663 6.663
angles (deg): 116.26 116.26 96.61
Atoms (fractional coordinates):
Cs  0.250  0.750  0.500
Cs  0.750  0.250  0.500
Ag  0.153  0.153  0.000
Ag  0.847  0.847  0.000
Br  0.500  0.500  0.000


Computed, not measured: an optimized crystal structure of Li2OsF6 at the PBE level of DFT.

Calculated values
- E (eV per atom) = -5.172
- size of the total moment (μB/f.u.) = 2.00
- formation energy from raw total energies (meV per atom) = -2251

a b c (Å): 4.702 4.702 9.437
angles (deg): 90.00 90.00 90.00
Atoms (fractional coordinates):
Li  0.000  0.000  0.168
Li  0.000  0.000  0.832
Li  0.500  0.500  0.332
Li  0.500  0.500  0.668
Os  0.000  0.000  0.500
Os  0.500  0.500  0.000
F  0.194  0.194  0.338
F  0.194  0.194  0.662
F  0.209  0.209  0.000
F  0.291  0.709  0.500
F  0.306  0.694  0.162
F  0.306  0.694  0.838
F  0.694  0.306  0.162
F  0.694  0.306  0.838
F  0.709  0.291  0.500
F  0.791  0.791  0.000
F  0.806  0.806  0.338
F  0.806  0.806  0.662


Computed, not measured: an optimized crystal structure of Sr3Y2UAs6 at the PBE level of DFT.

Calculated values
- E (eV per atom) = -5.983
- ΔH_f (0 K) (eV per atom) = -1.22
- size of the total moment (μB/f.u.) = 0.00

a b c (Å): 7.332 7.332 7.548
angles (deg): 99.33 99.33 120.00
Atoms (fractional coordinates):
Sr  0.000  0.000  0.000
Sr  0.330  0.670  0.000
Sr  0.670  0.330  0.000
Y  0.166  0.834  0.500
Y  0.834  0.166  0.500
U  0.500  0.500  0.500
As  0.109  0.428  0.282
As  0.256  0.256  0.717
As  0.428  0.109  0.282
As  0.572  0.891  0.718
As  0.744  0.744  0.283
As  0.891  0.572  0.718


Computed, not measured: an optimized crystal structure of FeIr9W2 at the PBE level of DFT.

Calculated values
- E (eV per atom) = -9.755
- ΔH_f (0 K) (eV per atom) = -0.25
- size of the total moment (μB/f.u.) = 3.85

a b c (Å): 3.884 3.884 11.628
angles (deg): 90.00 90.00 90.00
Atoms (fractional coordinates):
Fe  0.000  0.000  0.000
Ir  0.000  0.500  0.167
Ir  0.000  0.500  0.500
Ir  0.000  0.500  0.833
Ir  0.500  0.000  0.167
Ir  0.500  0.000  0.500
Ir  0.500  0.000  0.833
Ir  0.500  0.500  0.000
Ir  0.500  0.500  0.334
Ir  0.500  0.500  0.666
W  0.000  0.000  0.327
W  0.000  0.000  0.673


Computed, not measured: an optimized crystal structure of SrMnAg3 at the PBE level of DFT.

Calculated values
- E (eV per atom) = -3.618
- energy relative to the lowest polymorph listed for this composition (meV per atom) = 0
- ΔH_f (0 K) (eV per atom) = 0.26
- size of the total moment (μB/f.u.) = 4.12

a b c (Å): 5.078 5.078 5.078
angles (deg): 90.00 90.00 90.00
Atoms (fractional coordinates):
Sr  0.000  0.000  0.000
Mn  0.500  0.500  0.500
Ag  0.000  0.500  0.500
Ag  0.500  0.000  0.500
Ag  0.500  0.500  0.000


Computed, not measured: an optimized crystal structure of Ca2TbLu at the PBE level of DFT.

Calculated values
- E (eV per atom) = -3.012
- energy relative to the lowest polymorph listed for this composition (meV per atom) = 80
- ΔH_f (0 K) (eV per atom) = 0.28
- size of the total moment (μB/f.u.) = 0.52

a b c (Å): 13.120 13.120 13.120
angles (deg): 15.57 15.57 15.57
Atoms (fractional coordinates):
Ca  0.087  0.087  0.087
Ca  0.913  0.913  0.913
Tb  0.500  0.500  0.500
Lu  0.000  0.000  0.000